The following is a DFT calculation (PBE) of a relaxed In2AsW crystal.

DFT total energy in eV per cell: -21.59
Space group: Imm2
Energy of formation in eV per atom: 0.3728

Cell and atoms, written as CIF:
```
data_In2AsW
_chemical_formula_sum 'In2 As1 W1'
_cell_length_a 6.8895
_cell_length_b 6.8895
_cell_length_c 6.8895
_cell_angle_alpha 155.53
_cell_angle_beta 138.14
_cell_angle_gamma 49.08
_symmetry_space_group_name_H-M 'P 1'
_symmetry_Int_Tables_number 1
_symmetry_space_group_name_Hall 'P 1'
loop_
_atom_site_label
_atom_site_fract_x
_atom_site_fract_y
_atom_site_fract_z
In1 0.0000 0.0000 0.0000
In2 0.6868 0.1868 0.5000
As1 0.3802 0.3802 0.0000
W1 0.2090 0.7090 0.5000
```



The following is a DFT calculation (PBE) of a relaxed In2AsW crystal.

DFT total energy in eV per cell: -20.50
Space group: P4/mmm
Energy of formation in eV per atom: 0.6460

Cell and atoms, written as CIF:
```
data_In2AsW
_chemical_formula_sum 'In2 As1 W1'
_cell_length_a 5.1804
_cell_length_b 5.1804
_cell_length_c 3.0041
_cell_angle_alpha 90.00
_cell_angle_beta 90.00
_cell_angle_gamma 90.00
_symmetry_space_group_name_H-M 'P 1'
_symmetry_Int_Tables_number 1
_symmetry_space_group_name_Hall 'P 1'
loop_
_atom_site_label
_atom_site_fract_x
_atom_site_fract_y
_atom_site_fract_z
In1 0.0000 0.5000 0.0000
In2 0.5000 0.0000 0.0000
As1 0.0000 0.0000 0.5000
W1 0.5000 0.5000 0.5000
```



The following is a DFT calculation (PBE) of a relaxed InAs2W crystal.

DFT total energy in eV per cell: -23.64
Space group: Immm
Energy of formation in eV per atom: 0.3383

Cell and atoms, written as CIF:
```
data_InAs2W
_chemical_formula_sum 'In1 As2 W1'
_cell_length_a 6.4743
_cell_length_b 6.4743
_cell_length_c 6.4743
_cell_angle_alpha 152.37
_cell_angle_beta 135.49
_cell_angle_gamma 53.20
_symmetry_space_group_name_H-M 'P 1'
_symmetry_Int_Tables_number 1
_symmetry_space_group_name_Hall 'P 1'
loop_
_atom_site_label
_atom_site_fract_x
_atom_site_fract_y
_atom_site_fract_z
In1 0.0000 0.0000 0.0000
As1 0.3233 0.8233 0.5000
As2 0.6767 0.1767 0.5000
W1 0.5000 0.5000 0.0000
```



The following is a DFT calculation (PBE) of a relaxed InAs2W crystal.

DFT total energy in eV per cell: -22.82
Space group: I4/mmm
Energy of formation in eV per atom: 0.5439

Cell and atoms, written as CIF:
```
data_InAs2W
_chemical_formula_sum 'In1 As2 W1'
_cell_length_a 4.6039
_cell_length_b 4.6039
_cell_length_c 4.6039
_cell_angle_alpha 113.64
_cell_angle_beta 113.64
_cell_angle_gamma 101.41
_symmetry_space_group_name_H-M 'P 1'
_symmetry_Int_Tables_number 1
_symmetry_space_group_name_Hall 'P 1'
loop_
_atom_site_label
_atom_site_fract_x
_atom_site_fract_y
_atom_site_fract_z
In1 0.0000 0.0000 0.0000
As1 0.2500 0.7500 0.5000
As2 0.7500 0.2500 0.5000
W1 0.5000 0.5000 0.0000
```



The following is a DFT calculation (PBE) of a relaxed InAs3W crystal.

Energy above the lowest structure with this stoichiometry in meV/atom: 0
DFT total energy in eV per cell: -27.72
Space group: Pm-3m
Energy of formation in eV per atom: 0.3840

Cell and atoms, written as CIF:
```
data_InAs3W
_chemical_formula_sum 'In1 As3 W1'
_cell_length_a 4.9590
_cell_length_b 4.9590
_cell_length_c 4.9590
_cell_angle_alpha 90.00
_cell_angle_beta 90.00
_cell_angle_gamma 90.00
_symmetry_space_group_name_H-M 'P 1'
_symmetry_Int_Tables_number 1
_symmetry_space_group_name_Hall 'P 1'
loop_
_atom_site_label
_atom_site_fract_x
_atom_site_fract_y
_atom_site_fract_z
In1 0.0000 0.0000 0.0000
As1 0.0000 0.5000 0.5000
As2 0.5000 0.0000 0.5000
As3 0.5000 0.5000 0.0000
W1 0.5000 0.5000 0.5000
```



The following is a DFT calculation (PBE) of a relaxed In2AsW crystal.

DFT total energy in eV per cell: -21.67
Space group: Cm
Energy of formation in eV per atom: 0.3522

Cell and atoms, written as CIF:
```
data_In2AsW
_chemical_formula_sum 'In2 As1 W1'
_cell_length_a 5.7080
_cell_length_b 5.7080
_cell_length_c 5.0926
_cell_angle_alpha 105.14
_cell_angle_beta 105.14
_cell_angle_gamma 31.84
_symmetry_space_group_name_H-M 'P 1'
_symmetry_Int_Tables_number 1
_symmetry_space_group_name_Hall 'P 1'
loop_
_atom_site_label
_atom_site_fract_x
_atom_site_fract_y
_atom_site_fract_z
In1 0.0000 0.0000 0.0000
In2 0.2041 0.2041 0.6420
As1 0.4120 0.4120 0.4160
W1 0.7442 0.7442 0.1466
```